# 1
Below is crystalline Al3TcGe at its relaxed geometry, with properties calculated at the PBE level.

Formation energy: 1188 meV per atom
DOS(E_F): 3.8 states/eV/f.u.

Cell lengths 4.7482, 4.7482, 4.7482 Å; angles 90.00, 90.00, 90.00 degrees
With the nearest neighbours (Å) after each atom.
Space group Pm-3m (No. 221)
Asymmetric unit:
Al 0.0000 0.0000 0.5000 x3  2 Ge 2.37
Tc 0.5000 0.5000 0.5000 x1  12 Al 3.36
Ge 0.0000 0.0000 0.0000 x1  6 Al 2.37

***

# 2
Below is crystalline AlTc2Ge at its relaxed geometry, with properties calculated at the PBE level.

Formation energy: 439 meV per atom
DOS(E_F): 4.8 states/eV/f.u.

Cell lengths 6.7768, 6.7768, 5.6182 Å; angles 90.00, 90.00, 90.00 degrees
With the nearest neighbours (Å) after each atom.
Space group I-42d (No. 122)
Asymmetric unit:
Al 0.0000 0.0000 0.0000 x4  4 Tc 2.56, 2 Ge 2.81
Tc 0.2357 0.2500 0.6250 x8  2 Ge 2.43, 2 Al 2.56
Ge 0.0000 0.0000 0.5000 x4  4 Tc 2.43

***

# 3
Below is crystalline AlTc3Ge at its relaxed geometry, with properties calculated at the PBE level.

Formation energy: 1115 meV per atom
DOS(E_F): 7.7 states/eV/f.u.

Cell lengths 4.5288, 4.5288, 4.5288 Å; angles 90.00, 90.00, 90.00 degrees
With the nearest neighbours (Å) after each atom.
Space group Pm-3m (No. 221)
Asymmetric unit:
Al 0.0000 0.0000 0.0000 x1  12 Tc 3.20
Tc 0.0000 0.5000 0.5000 x3  2 Ge 2.26
Ge 0.5000 0.5000 0.5000 x1  6 Tc 2.26

***

# 4
Below is crystalline AlTc2Ge2 at its relaxed geometry, with properties calculated at the PBE level.

Formation energy: 20 meV per atom
DOS(E_F): 2.6 states/eV/f.u.

Cell lengths 7.0574, 7.0574, 3.0331 Å; angles 90.00, 90.00, 90.00 degrees
With the nearest neighbours (Å) after each atom.
Space group P4/mbm (No. 127)
Asymmetric unit:
Al 0.0000 0.0000 0.0000 x2  4 Ge 2.72, 2 Al 3.03
Tc 0.1556 0.3444 0.5000 x4  6 Ge 2.53-2.59
Ge 0.1411 0.6411 0.0000 x4  6 Tc 2.53-2.59, 2 Al 2.72, 1 Ge 2.82

***

# 5
Below is crystalline AlTc2Ge at its relaxed geometry, with properties calculated at the PBE level.

Formation energy: -166 meV per atom
DOS(E_F): 5.2 states/eV/f.u.

Cell lengths 4.3193, 4.3193, 3.0441 Å; angles 90.00, 90.00, 90.00 degrees
With the nearest neighbours (Å) after each atom.
Space group P4/mmm (No. 123)
Asymmetric unit:
Al 0.0000 0.0000 0.0000 x1  8 Tc 2.64
Tc 0.0000 0.5000 0.5000 x2  4 Ge 2.64, 4 Al 2.64
Ge 0.5000 0.5000 0.0000 x1  8 Tc 2.64

***

# 6
Below is crystalline AlTc2Ge2 at its relaxed geometry, with properties calculated at the PBE level.

Formation energy: -60 meV per atom
DOS(E_F): 4.4 states/eV/f.u.

Cell lengths 9.8444, 6.9052, 4.9992 Å; angles 90.00, 108.37, 90.00 degrees
With the nearest neighbours (Å) after each atom.
Space group C2/c (No. 15)
Asymmetric unit:
Al 0.0000 0.0051 0.2500 x4  2 Al 2.50, 4 Tc 2.64-2.66
Tc 0.0920 0.3141 0.5644 x8  5 Ge 2.49-2.74, 2 Al 2.64-2.66
Ge 0.1845 0.3458 0.1409 x8  5 Tc 2.49-2.74, 1 Ge 2.56

***

# 7
Below is crystalline Al2TcGeTe at its relaxed geometry, with properties calculated at the PBE level.

Raw formation energy: 291 meV per atom
DOS(E_F): 6.2 states/eV/f.u.

Cell lengths 4.9006, 4.9006, 4.7656 Å; angles 90.00, 90.00, 90.00 degrees
With the nearest neighbours (Å) after each atom.
Space group P4/mmm (No. 123)
Asymmetric unit:
Al 0.0000 0.5000 0.0000 x2  2 Tc 2.45
Tc 0.0000 0.0000 0.0000 x1  2 Ge 2.38, 4 Al 2.45
Ge 0.0000 0.0000 0.5000 x1  2 Tc 2.38
Te 0.5000 0.5000 0.5000 x1  8 Al 3.42, 4 Ge 3.47

***

# 8
Below is crystalline Al2TcGeTe at its relaxed geometry, with properties calculated at the PBE level.

Raw formation energy: 1153 meV per atom
DOS(E_F): 4.6 states/eV/f.u.

Cell lengths 4.7884, 4.7884, 5.5134 Å; angles 90.00, 90.00, 90.00 degrees
With the nearest neighbours (Å) after each atom.
Space group P4/mmm (No. 123)
Asymmetric unit:
Al 0.0000 0.5000 0.0000 x2  2 Ge 2.39
Tc 0.0000 0.0000 0.5000 x1  4 Te 3.39, 8 Al 3.65
Ge 0.5000 0.5000 0.0000 x1  4 Al 2.39
Te 0.5000 0.5000 0.5000 x1  2 Ge 2.76

***

# 9
Below is crystalline ThAl2Tc2Ge at its relaxed geometry, with properties calculated at the PBE level.

Formation energy: -140 meV per atom
DOS(E_F): 2.6 states/eV/f.u.

Cell lengths 4.5996, 4.5996, 5.7134 Å; angles 90.00, 90.00, 90.00 degrees
With the nearest neighbours (Å) after each atom.
Space group P4/mmm (No. 123)
Asymmetric unit:
Th 0.0000 0.0000 0.0000 x1  2 Ge 2.86
Al 0.5000 0.5000 0.2473 x2  4 Tc 2.72, 2 Al 2.83-2.89
Tc 0.0000 0.5000 0.5000 x2  2 Ge 2.30
Ge 0.0000 0.0000 0.5000 x1  4 Tc 2.30

***

# 10
Below is crystalline AlGeTe2 at its relaxed geometry, with properties calculated at the PBE level.

Raw formation energy: 88 meV per atom
DOS(E_F): 2.0 states/eV/f.u.

Cell lengths 3.8452, 3.8452, 27.6779 Å; angles 90.00, 90.00, 120.00 degrees
With the nearest neighbours (Å) after each atom.
Space group R-3m (No. 166, hexagonal axes)
Asymmetric unit:
Al 0.0000 0.0000 0.0000 x3  6 Te 2.77
Ge 0.0000 0.0000 0.5000 x3  2 Te 2.96
Te 0.0000 0.0000 0.3930 x6  3 Al 2.77, 1 Ge 2.96

***

# 11
Below is crystalline Al2Ge2Te at its relaxed geometry, with properties calculated at the PBE level.

Raw formation energy: 184 meV per atom
DOS(E_F): 2.4 states/eV/f.u.

Cell lengths 8.3361, 8.3361, 2.9918 Å; angles 90.00, 90.00, 90.00 degrees
With the nearest neighbours (Å) after each atom.
Space group P4/mbm (No. 127)
Asymmetric unit:
Al 0.1394 0.3606 0.0000 x4  6 Ge 2.83-2.89, 2 Al 2.99
Ge 0.1564 0.6564 0.5000 x4  6 Al 2.83-2.89, 2 Ge 2.99, 2 Te 3.15
Te 0.0000 0.0000 0.5000 x2  2 Te 2.99, 4 Ge 3.15

***

# 12
Below is crystalline AlGeTe3 at its relaxed geometry, with properties calculated at the PBE level.

Raw formation energy: -197 meV per atom
DOS(E_F): 1.9 states/eV/f.u.

Cell lengths 4.0117, 23.2092, 7.0090 Å; angles 90.00, 90.00, 90.00 degrees
With the nearest neighbours (Å) after each atom.
Space group Cmc2_1 (No. 36)
Asymmetric unit:
Al 0.0000 0.1301 0.0000 x4  4 Te 2.63-2.66
Ge 0.0000 0.3350 0.0683 x4  6 Te 2.84-3.04
Te 0.0000 0.1037 0.3654 x4  1 Al 2.63, 2 Ge 2.84
Te 0.0000 0.2290 0.8148 x4  1 Al 2.64
Te 0.0000 0.4283 0.3431 x4  2 Al 2.66, 1 Ge 2.90

***

# 13
Below is crystalline Al2GeTe2 at its relaxed geometry, with properties calculated at the PBE level.

Raw formation energy: 166 meV per atom
DOS(E_F): 1.9 states/eV/f.u.

Cell lengths 8.2894, 8.2894, 3.8765 Å; angles 90.00, 90.00, 90.00 degrees
With the nearest neighbours (Å) after each atom.
Space group P4/mbm (No. 127)
Asymmetric unit:
Al 0.1122 0.3878 0.0000 x4  1 Al 2.63, 2 Te 2.73
Ge 0.0000 0.0000 0.5000 x2  4 Te 2.95
Te 0.2235 0.7235 0.5000 x4  2 Al 2.73, 2 Ge 2.95

***

# 14
Below is crystalline AlGeTe2 at its relaxed geometry, with properties calculated at the PBE level.

Raw formation energy: 201 meV per atom
DOS(E_F): 2.6 states/eV/f.u.

Cell lengths 7.2512, 7.2512, 7.2512 Å; angles 90.00, 90.00, 90.00 degrees
With the nearest neighbours (Å) after each atom.
Space group Fm-3m (No. 225)
Asymmetric unit:
Al 0.0000 0.0000 0.0000 x4  8 Te 3.14
Ge 0.0000 0.0000 0.5000 x4  8 Te 3.14
Te 0.2500 0.2500 0.2500 x8  4 Ge 3.14, 4 Al 3.14

***

# 15
Below is crystalline Al2GeTe6 at its relaxed geometry, with properties calculated at the PBE level.

Raw formation energy: -124 meV per atom
DOS(E_F): 3.8 states/eV/f.u.

Cell lengths 12.8961, 12.3620, 7.6938 Å; angles 90.00, 105.92, 90.00 degrees
With the nearest neighbours (Å) after each atom.
Space group C2/c (No. 15)
Asymmetric unit:
Al 0.1860 0.0866 0.3162 x8  4 Te 2.59-2.71
Ge 0.0000 0.4091 0.2500 x4  6 Te 2.80-2.93
Te 0.0916 0.0742 0.5890 x8  2 Al 2.70-2.71, 1 Te 3.01
Te 0.1075 0.4077 0.6381 x8  1 Al 2.59
Te 0.1683 0.2843 0.1908 x8  1 Al 2.61, 1 Ge 2.80

***

# 16
Below is crystalline Al2GeTe at its relaxed geometry, with properties calculated at the PBE level.

Raw formation energy: -170 meV per atom
DOS(E_F): 0.0 states/eV/f.u.

Cell lengths 6.0319, 6.0319, 12.0701 Å; angles 90.00, 90.00, 90.00 degrees
With the nearest neighbours (Å) after each atom.
Space group I-42d (No. 122)
Asymmetric unit:
Al 0.2075 0.2500 0.1250 x8  2 Ge 2.47, 2 Te 2.77
Ge 0.0000 0.0000 0.0000 x4  4 Al 2.47
Te 0.0000 0.0000 0.5000 x4  4 Al 2.77

***

# 17
Below is crystalline Al3GeTe at its relaxed geometry, with properties calculated at the PBE level.

Raw formation energy: 385 meV per atom
DOS(E_F): 2.9 states/eV/f.u.

Cell lengths 4.9783, 4.9783, 4.9783 Å; angles 90.00, 90.00, 90.00 degrees
With the nearest neighbours (Å) after each atom.
Space group Pm-3m (No. 221)
Asymmetric unit:
Al 0.0000 0.0000 0.5000 x3  2 Ge 2.49
Ge 0.0000 0.0000 0.0000 x1  6 Al 2.49
Te 0.5000 0.5000 0.5000 x1  12 Al 3.52

***

# 18
Below is crystalline Al3GeTe at its relaxed geometry, with properties calculated at the PBE level.

Raw formation energy: 1038 meV per atom
DOS(E_F): 2.6 states/eV/f.u.

Cell lengths 5.2841, 5.2841, 5.2841 Å; angles 90.00, 90.00, 90.00 degrees
With the nearest neighbours (Å) after each atom.
Space group Pm-3m (No. 221)
Asymmetric unit:
Al 0.0000 0.0000 0.5000 x3  2 Te 2.64
Ge 0.5000 0.5000 0.5000 x1  12 Al 3.74
Te 0.0000 0.0000 0.0000 x1  6 Al 2.64

***

# 19
Below is crystalline AlGeTe4 at its relaxed geometry, with properties calculated at the PBE level.

Raw formation energy: -112 meV per atom
DOS(E_F): 5.6 states/eV/f.u.

Cell lengths 6.0076, 6.0076, 11.0220 Å; angles 90.00, 90.00, 90.00 degrees
With the nearest neighbours (Å) after each atom.
Space group I-4 (No. 82)
Asymmetric unit:
Al 0.0000 0.0000 0.0000 x2  4 Te 2.65
Ge 0.0000 0.5000 0.2500 x2  4 Te 2.64
Te 0.2190 0.2398 0.6196 x8  1 Ge 2.64, 1 Al 2.65

***

# 20
Below is crystalline AlGe2Te at its relaxed geometry, with properties calculated at the PBE level.

Raw formation energy: 183 meV per atom
DOS(E_F): 3.4 states/eV/f.u.

Cell lengths 6.0740, 6.0740, 12.4974 Å; angles 90.00, 90.00, 90.00 degrees
With the nearest neighbours (Å) after each atom.
Space group I-42d (No. 122)
Asymmetric unit:
Al 0.0000 0.0000 0.0000 x4  4 Ge 2.51
Ge 0.2051 0.2500 0.1250 x8  2 Al 2.51
Te 0.0000 0.0000 0.5000 x4  4 Ge 2.82